1.
VASP calculation (GGA-PBE) on a relaxed structure of Ho2MnB2Ru5.

**Space-group type**: No. 127
**Total energy**: -8.1905 eV per atom
**Calculated formation energy**: -0.385 eV/atom

Geometry as POSCAR:
```
Ho2MnB2Ru5
1.0
9.529 0.000 0.000
0.000 9.529 0.000
0.000 0.000 3.094
Ho Mn B Ru
4 2 4 10
Direct
0.176 0.324 0.000
0.324 0.824 0.000
0.676 0.176 0.000
0.824 0.676 0.000
0.000 0.000 0.000
0.500 0.500 0.000
0.123 0.623 0.000
0.377 0.123 0.000
0.623 0.877 0.000
0.877 0.377 0.000
0.000 0.500 0.500
0.070 0.785 0.500
0.215 0.070 0.500
0.285 0.570 0.500
0.430 0.285 0.500
0.500 0.000 0.500
0.570 0.715 0.500
0.715 0.430 0.500
0.785 0.930 0.500
0.930 0.215 0.500
```

2.
VASP calculation (GGA-PBE) on a relaxed structure of Ho3B7Mo.

**Space-group type**: No. 63
**Total energy**: -7.0936 eV per atom
**Calculated formation energy**: -0.611 eV/atom

Geometry as POSCAR:
```
Ho3B7Mo
1.0
1.730 -7.970 0.000
1.730 7.970 0.000
0.000 0.000 9.450
Ho B Mo
6 14 2
Direct
0.107 0.893 0.560
0.107 0.893 0.940
0.243 0.757 0.250
0.757 0.243 0.750
0.893 0.107 0.060
0.893 0.107 0.440
0.272 0.728 0.533
0.272 0.728 0.967
0.365 0.635 0.648
0.365 0.635 0.852
0.456 0.544 0.250
0.480 0.520 0.592
0.480 0.520 0.908
0.520 0.480 0.092
0.520 0.480 0.408
0.544 0.456 0.750
0.635 0.365 0.148
0.635 0.365 0.352
0.728 0.272 0.033
0.728 0.272 0.467
0.053 0.947 0.250
0.947 0.053 0.750
```

3.
VASP calculation (GGA-PBE) on a relaxed structure of HoBMo.

**Space-group type**: No. 62
**Total energy**: -7.3292 eV per atom
**Calculated formation energy**: 0.033 eV/atom

Geometry as POSCAR:
```
HoBMo
1.0
10.291 0.000 0.000
0.000 3.577 0.000
0.000 0.000 5.677
Ho B Mo
4 4 4
Direct
0.038 0.250 0.239
0.462 0.750 0.739
0.538 0.250 0.261
0.962 0.750 0.761
0.163 0.750 0.503
0.337 0.250 0.003
0.663 0.750 0.997
0.837 0.250 0.497
0.223 0.250 0.683
0.277 0.750 0.183
0.723 0.250 0.817
0.777 0.750 0.317
```

4.
VASP calculation (GGA-PBE) on a relaxed structure of HoB14Mo.

**Space-group type**: No. 74
**Total energy**: -6.9355 eV per atom
**Calculated formation energy**: -0.130 eV/atom

Geometry as POSCAR:
```
HoB14Mo
1.0
-2.938 5.448 4.085
2.938 -5.448 4.085
2.938 5.448 -4.085
Ho B Mo
2 28 2
Direct
0.374 0.124 0.250
0.626 0.876 0.750
0.008 0.127 0.881
0.030 0.206 0.332
0.030 0.698 0.823
0.092 0.672 0.420
0.198 0.530 0.668
0.228 0.503 0.406
0.228 0.822 0.726
0.248 0.328 0.920
0.254 0.873 0.381
0.362 0.530 0.832
0.375 0.206 0.677
0.375 0.698 0.168
0.403 0.178 0.906
0.403 0.497 0.226
0.597 0.503 0.774
0.597 0.822 0.094
0.625 0.302 0.832
0.625 0.794 0.323
0.638 0.470 0.168
0.746 0.127 0.619
0.752 0.672 0.080
0.772 0.178 0.274
0.772 0.497 0.594
0.802 0.470 0.332
0.908 0.328 0.580
0.970 0.302 0.177
0.970 0.794 0.668
0.992 0.873 0.119
0.000 0.000 0.500
0.000 0.500 0.000
```